[1]
12
Lattice="-1.344 7.484 0.228 -4.748 -4.605 -3.759 -2.290 -1.939 7.833" Properties=species:S:1:pos:R:3 comment="Rb3Pr2PuSe6 (PBE, relaxed)" formation_energy_uncorrected_mev_per_atom=-1621.1 n_ef_per_ev_cell=13.14 total_magnetization_mub_per_fu=5.00 pbc="T T T"
Se -4.960 1.740 -1.043
Se -1.303 2.258 1.404
Se -2.419 -1.705 0.097
Se -5.963 2.646 4.205
Se -7.078 -1.317 2.898
Se -3.421 -0.799 5.345
Rb -4.191 0.470 2.151
Rb -5.321 -3.545 0.826
Rb -3.060 4.486 3.475
Pr -3.613 -0.573 -2.430
Pr -2.479 3.453 -1.102
Pu 0.000 0.000 0.000

---

[2]
8
Lattice="-2.303 -1.583 -3.361 -1.661 -6.188 4.052 -6.005 5.661 1.449" Properties=species:S:1:pos:R:3 comment="Rb2PrPuSe4 (PBE, relaxed)" formation_energy_uncorrected_mev_per_atom=-1575.8 n_ef_per_ev_cell=12.26 total_magnetization_mub_per_fu=5.00 pbc="T T T"
Se -5.231 2.902 2.218
Se -2.703 -1.080 -0.482
Se -7.267 -1.030 2.622
Se -2.435 -3.429 3.283
Pu 0.000 0.000 0.000
Rb -3.833 -0.263 2.751
Rb -4.154 2.039 -0.956
Pr -1.982 -3.885 0.345

---

[3]
16
Lattice="-7.601 -3.771 -2.316 -1.377 -2.738 8.975 1.295 8.569 -1.501" Properties=species:S:1:pos:R:3 comment="Rb4Pr3PuSe8 (PBE, relaxed)" formation_energy_uncorrected_mev_per_atom=-1649.3 n_ef_per_ev_cell=12.99 total_magnetization_mub_per_fu=5.00 pbc="T T T"
Se -5.944 -0.677 3.907
Se -1.739 2.736 1.251
Se -2.364 -1.544 2.045
Se -1.462 5.516 4.288
Se -5.318 3.603 3.113
Se -6.220 -3.457 0.870
Se -2.119 1.170 5.050
Se -5.563 0.890 0.108
Rb -3.800 -1.886 -1.158
Rb 0.647 4.284 -0.750
Rb 0.000 0.000 0.000
Rb -3.153 2.399 -1.908
Pu -0.688 -1.369 4.487
Pr -3.841 1.030 2.579
Pr -4.489 -3.255 3.329
Pr -0.041 2.915 3.737

---

[4]
8
Lattice="-2.961 -2.900 -2.114 6.216 -4.031 -3.177 -1.920 -3.783 7.880" Properties=species:S:1:pos:R:3 comment="Rb2PrPuTe4 (PBE, relaxed)" formation_energy_uncorrected_mev_per_atom=-1247.7 n_ef_per_ev_cell=13.90 total_magnetization_mub_per_fu=5.00 pbc="T T T"
Rb 2.148 -3.907 2.351
Rb -2.440 -3.341 2.883
Te 4.199 -3.755 -0.730
Te -0.446 -3.128 -0.203
Te 0.097 -4.059 5.433
Te 1.781 -7.586 2.792
Pu 0.000 0.000 0.000
Pr 1.627 -3.465 -2.645

---

[5]
12
Lattice="-0.764 -6.912 -4.123 4.453 6.035 -3.018 5.674 -2.827 6.331" Properties=species:S:1:pos:R:3 comment="Rb3Pr2PuTe6 (PBE, relaxed)" formation_energy_uncorrected_mev_per_atom=-1297.0 n_ef_per_ev_cell=14.43 total_magnetization_mub_per_fu=5.00 pbc="T T T"
Pr 2.712 1.716 -3.387
Pr 0.976 -2.593 -3.755
Rb 6.412 2.445 -0.039
Rb 2.950 -6.148 -0.772
Rb 4.681 -1.852 -0.405
Te 3.888 -1.226 -3.987
Te 2.870 1.348 -0.186
Te 5.474 -2.477 3.177
Te 8.207 -0.796 -0.261
Te 6.492 -5.052 -0.624
Te 1.155 -2.908 -0.550
Pu 0.000 0.000 0.000

---

[6]
12
Lattice="-5.298 -4.670 3.804 6.819 2.127 3.650 -4.355 7.778 0.664" Properties=species:S:1:pos:R:3 comment="Rb3PrPu2Te6 (PBE, relaxed)" formation_energy_uncorrected_mev_per_atom=-1199.0 n_ef_per_ev_cell=26.95 total_magnetization_mub_per_fu=10.00 pbc="T T T"
Pu 2.783 -0.137 3.701
Pu -1.262 -2.406 3.752
Te -2.575 -0.185 1.928
Te 1.537 2.122 1.876
Te 0.229 -0.283 5.556
Te -0.259 5.421 6.189
Te -3.063 5.519 2.561
Te -4.371 3.114 6.242
Pr 0.000 0.000 0.000
Rb -5.480 0.339 4.110
Rb -1.417 2.618 4.059
Rb 2.646 4.897 4.007

---

[7]
12
Lattice="6.337 0.000 0.000 -3.169 7.134 0.000 0.000 0.000 6.969" Properties=species:S:1:pos:R:3 comment="PrPuRe (PBE, relaxed)" n_ef_per_ev_cell=24.49 formation_enthalpy_0k_ev_per_atom=0.27 total_magnetization_mub_per_fu=4.72 pbc="T T T"
Pr 0.000 2.705 4.026
Pr 3.169 2.705 6.428
Pr 0.000 4.429 0.541
Pr 3.169 4.429 2.944
Pu 1.584 6.805 5.227
Pu 1.584 0.329 1.742
Pu -1.584 6.805 5.227
Pu 4.753 0.329 1.742
Re 0.000 1.432 6.791
Re 0.000 5.702 3.306
Re 3.169 1.432 3.663
Re 3.169 5.702 0.179

---

[8]
4
Lattice="-2.904 0.094 1.573 1.487 -0.928 2.801 1.455 8.846 2.157" Properties=species:S:1:pos:R:3 comment="PrPu2Re (PBE, relaxed)" n_ef_per_ev_cell=11.44 formation_enthalpy_0k_ev_per_atom=0.22 total_magnetization_mub_per_fu=10.20 pbc="T T T"
Pu 1.177 7.153 1.744
Pu 0.279 1.693 0.413
Pr 0.019 4.006 3.265
Re -0.709 -0.417 2.187

---

[9]
10
Lattice="6.069 0.000 0.000 0.000 8.020 0.000 -3.035 -4.010 5.413" Properties=species:S:1:pos:R:3 comment="Pr2PuRh2 (PBE, relaxed)" n_ef_per_ev_cell=24.95 formation_enthalpy_0k_ev_per_atom=-0.41 total_magnetization_mub_per_fu=5.82 pbc="T T T"
Pu 1.517 4.010 0.000
Pu 4.552 4.010 0.000
Pr 0.000 5.092 3.639
Pr 0.000 1.082 1.774
Pr 3.035 2.928 3.639
Pr 3.035 -1.082 1.774
Rh 3.035 1.838 1.004
Rh 3.035 -2.172 4.409
Rh 0.000 2.172 4.409
Rh 0.000 6.182 1.004

---

[10]
4
Lattice="-0.964 1.768 -2.963 -3.204 -1.600 0.088 -2.844 5.941 4.471" Properties=species:S:1:pos:R:3 comment="PrPu2Rh (PBE, relaxed)" n_ef_per_ev_cell=13.82 formation_enthalpy_0k_ev_per_atom=-0.13 total_magnetization_mub_per_fu=11.10 pbc="T T T"
Pr -3.506 3.055 0.798
Pu -0.548 1.145 0.861
Pu -2.296 4.797 3.610
Rh -2.084 0.084 -1.437

---

[11]
6
Lattice="3.476 0.000 0.000 0.000 3.476 0.000 0.000 0.000 10.402" Properties=species:S:1:pos:R:3 comment="PrPu2Rh3 (PBE, relaxed)" n_ef_per_ev_cell=19.31 formation_enthalpy_0k_ev_per_atom=-0.46 total_magnetization_mub_per_fu=9.60 pbc="T T T"
Pu 1.738 1.738 1.676
Pu 1.738 1.738 8.726
Pr 1.738 1.738 5.201
Rh 0.000 0.000 3.246
Rh 0.000 0.000 7.156
Rh 0.000 0.000 0.000

---

[12]
7
Lattice="-1.242 -2.168 2.990 -3.105 -4.779 -4.755 7.718 0.845 1.280" Properties=species:S:1:pos:R:3 comment="Pr2Pu2Rh3 (PBE, relaxed)" n_ef_per_ev_cell=14.99 formation_enthalpy_0k_ev_per_atom=-0.32 total_magnetization_mub_per_fu=11.04 pbc="T T T"
Pu 0.977 -4.817 -0.548
Pu 2.394 -1.285 0.063
Rh 0.000 0.000 0.000
Rh -0.025 -3.936 -2.864
Rh 3.396 -2.166 2.379
Pr 6.213 -1.571 1.442
Pr -2.842 -4.531 -1.927